(1)
The following is a DFT calculation (PBE) of K3ZrBi3Te8 after structural relaxation.

```
K3ZrBi3Te8
1.0
4.484 2.589 8.484
-4.484 2.589 8.484
0.000 -5.178 8.484
K Zr Bi Te
3 1 3 8
direct
0.000 0.500 0.500
0.500 0.000 0.500
0.500 0.500 0.000
0.500 0.500 0.500
0.000 0.000 0.500
0.000 0.500 0.000
0.500 0.000 0.000
0.238 0.238 0.238
0.253 0.723 0.723
0.277 0.277 0.747
0.277 0.747 0.277
0.723 0.253 0.723
0.723 0.723 0.253
0.747 0.277 0.277
0.762 0.762 0.762
```

Properties
- Formation energy (no corrections): -0.66 eV per atom


(2)
The following is a DFT calculation (PBE) of TbPrTlPd after structural relaxation.

```
TbPrTlPd
1.0
0.000 3.744 3.744
3.744 0.000 3.744
3.744 3.744 0.000
Tb Pr Tl Pd
1 1 1 1
direct
0.000 0.000 0.000
0.500 0.500 0.500
0.250 0.250 0.250
0.750 0.750 0.750
```

Properties
- Energy relative to the elements: -491 meV per atom


(3)
The following is a DFT calculation (PBE) of Tl2CuO2 after structural relaxation.

```
Tl2CuO2
1.0
5.609 -2.552 0.000
5.609 2.552 0.000
-2.314 0.000 4.550
Tl Cu O
2 1 2
direct
0.250 0.250 0.250
0.750 0.750 0.750
0.000 0.000 0.500
0.177 0.177 0.678
0.823 0.823 0.322
```

Properties
- Formation energy (no corrections): -0.45 eV per atom


(4)
The following is a DFT calculation (PBE) of NdGdTh after structural relaxation.

```
NdGdTh
1.0
-1.810 1.810 7.634
1.810 -1.810 7.634
1.810 1.810 -7.634
Nd Gd Th
1 1 1
direct
0.000 0.000 0.000
0.684 0.684 0.000
0.339 0.339 0.000
```

Properties
- Energy relative to the elements: 26 meV per atom